Computed, not measured: an optimized crystal structure of LiDyLuHg at the GGA-PBE level of DFT.

Cell lengths 5.1702, 5.1702, 5.1702 Å; angles 60.00, 60.00, 60.00 degrees
Closest atoms and distances in Å follow each position.
Atoms (fractional coordinates):
Hg 0.5000 0.5000 0.5000  4 Dy 3.17, 4 Lu 3.17
Lu 0.2500 0.2500 0.2500  4 Hg 3.17, 4 Li 3.17
Dy 0.7500 0.7500 0.7500  4 Li 3.17, 4 Hg 3.17
Li 0.0000 0.0000 0.0000  4 Lu 3.17, 4 Dy 3.17

Calculated values
E_tot ... -12.2 eV for the cell shown
ΔH_f (0 K) ... -21 kJ per mole of atoms
Total magnetization ... 0.00 μB per formula unit